This record from Alexandria via LeMat-Bulk describes an optimized crystal structure of ZnGaBi2H. The functional is PBE. Values from VASP.

Values from the calculation:
The calculation puts the calculated total energy at -2.88 eV/atom.

```
&SYSTEM
  ibrav = 0, nat = 5, ntyp = 4
/
ATOMIC_SPECIES
H 1.01 H.upf
Zn 65.41 Zn.upf
Bi 208.98 Bi.upf
Ga 69.72 Ga.upf
CELL_PARAMETERS angstrom
5.773 0.000 0.000
0.000 5.773 0.000
0.000 0.000 3.318
ATOMIC_POSITIONS crystal
H 0.000 0.000 0.500
Zn 0.000 0.000 0.000
Bi 0.000 0.500 0.000
Bi 0.500 0.000 0.000
Ga 0.500 0.500 0.500
```